This record from the Alexandria database describes a relaxed structure of Ho2Sc5. The functional is PBE-GGA.

Cell: 5.7588 5.7588 7.4807 Å, 97.53 97.53 48.36°
With the nearest neighbours (Å) after each atom.
Atoms (fractional coordinates):
Ho 0.0719 0.0719 0.2176  11 Sc 3.31-3.36, 1 Ho 3.39
Ho 0.9281 0.9281 0.7824  11 Sc 3.31-3.36, 1 Ho 3.39
Sc 0.2138 0.2138 0.6429  4 Ho 3.31-3.32, 8 Sc 3.33-3.34
Sc 0.3556 0.3556 0.0712  7 Sc 3.31-3.36, 5 Ho 3.32-3.36
Sc 0.5000 0.5000 0.5000  4 Ho 3.32, 8 Sc 3.33-3.35
Sc 0.6444 0.6444 0.9288  7 Sc 3.31-3.36, 5 Ho 3.32-3.36
Sc 0.7862 0.7862 0.3571  4 Ho 3.31-3.32, 8 Sc 3.33-3.34

Properties
Total DFT energy (no corrections), eV/cell: -40.4
Energy of formation, eV per atom: 0.055

***

This record from the Alexandria database describes a relaxed structure of NdPaBiO6. The functional is PBE-GGA.

Cell: 5.8503 5.8503 10.0537 Å, 90.00 90.00 120.00°
With the nearest neighbours (Å) after each atom.
Atoms (fractional coordinates):
Nd 0.0000 0.0000 0.0000  6 O 2.43
Nd 0.0000 0.0000 0.5000  6 O 2.43
Pa 0.3333 0.6667 0.2500  6 O 2.20
Pa 0.6667 0.3333 0.7500  6 O 2.20
Bi 0.3333 0.6667 0.7500  6 O 2.28
Bi 0.6667 0.3333 0.2500  6 O 2.28
O 0.0100 0.3491 0.1348  1 Pa 2.20, 1 Bi 2.28, 1 Nd 2.43
O 0.0100 0.6609 0.3652  1 Pa 2.20, 1 Bi 2.28, 1 Nd 2.43
O 0.3391 0.3491 0.3652  1 Pa 2.20, 1 Bi 2.28, 1 Nd 2.43
O 0.3391 0.9900 0.1348  1 Pa 2.20, 1 Bi 2.28, 1 Nd 2.43
O 0.3491 0.0100 0.6348  1 Pa 2.20, 1 Bi 2.28, 1 Nd 2.43
O 0.3491 0.3391 0.8652  1 Pa 2.20, 1 Bi 2.28, 1 Nd 2.43
O 0.6509 0.6609 0.1348  1 Pa 2.20, 1 Bi 2.28, 1 Nd 2.43
O 0.6509 0.9900 0.3652  1 Pa 2.20, 1 Bi 2.28, 1 Nd 2.43
O 0.6609 0.0100 0.8652  1 Pa 2.20, 1 Bi 2.28, 1 Nd 2.43
O 0.6609 0.6509 0.6348  1 Pa 2.20, 1 Bi 2.28, 1 Nd 2.43
O 0.9900 0.3391 0.6348  1 Pa 2.20, 1 Bi 2.28, 1 Nd 2.43
O 0.9900 0.6509 0.8652  1 Pa 2.20, 1 Bi 2.28, 1 Nd 2.43

Properties
Total DFT energy (no corrections), eV/cell: -142.3
Formation energy without anion corrections, eV/f.u.: -23.2

***

This record from the Alexandria database describes a relaxed structure of Pr14NdMg. The functional is PBE-GGA.

Cell: 7.3488 7.3488 10.4459 Å, 90.00 90.00 90.00°
With the nearest neighbours (Å) after each atom.
Atoms (fractional coordinates):
Pr 0.0000 0.0000 0.0000  12 Pr 3.67-3.69
Pr 0.0000 0.5000 0.0000  12 Pr 3.67-3.71
Pr 0.0000 0.5000 0.5000  8 Pr 3.66, 2 Nd 3.67, 2 Mg 3.67
Pr 0.2483 0.2483 0.2532  1 Mg 3.65, 10 Pr 3.65-3.72, 1 Nd 3.67
Pr 0.2483 0.2483 0.7468  1 Mg 3.65, 10 Pr 3.65-3.72, 1 Nd 3.67
Pr 0.2483 0.7517 0.2532  1 Mg 3.65, 10 Pr 3.65-3.72, 1 Nd 3.67
Pr 0.2483 0.7517 0.7468  1 Mg 3.65, 10 Pr 3.65-3.72, 1 Nd 3.67
Pr 0.5000 0.0000 0.0000  12 Pr 3.67-3.71
Pr 0.5000 0.0000 0.5000  8 Pr 3.66, 2 Nd 3.67, 2 Mg 3.67
Pr 0.5000 0.5000 0.0000  12 Pr 3.67-3.72
Pr 0.7517 0.2483 0.2532  1 Mg 3.65, 10 Pr 3.65-3.72, 1 Nd 3.67
Pr 0.7517 0.2483 0.7468  1 Mg 3.65, 10 Pr 3.65-3.72, 1 Nd 3.67
Pr 0.7517 0.7517 0.2532  1 Mg 3.65, 10 Pr 3.65-3.72, 1 Nd 3.67
Pr 0.7517 0.7517 0.7468  1 Mg 3.65, 10 Pr 3.65-3.72, 1 Nd 3.67
Nd 0.5000 0.5000 0.5000  12 Pr 3.67
Mg 0.0000 0.0000 0.5000  12 Pr 3.65-3.67

Properties
Total DFT energy (no corrections), eV/cell: -73.2
Energy of formation, eV per atom: 0.002

***

This record from the Alexandria database describes a relaxed structure of La8TcPt2. The functional is PBE-GGA.

Cell: 7.7553 7.7553 6.6720 Å, 101.85 101.85 110.90°
With the nearest neighbours (Å) after each atom.
Atoms (fractional coordinates):
La 0.0000 0.0000 0.0000  2 Pt 3.05, 1 Tc 3.10
La 0.0060 0.2745 0.5862  2 Pt 2.91-2.95
La 0.1709 0.5451 0.1924  1 Tc 2.67
La 0.2745 0.0060 0.5862  2 Pt 2.91-2.95
La 0.4428 0.7022 0.8415  2 Pt 2.99-3.03, 1 Tc 3.05, 1 La 3.31
La 0.5451 0.1709 0.1924  1 Tc 2.67
La 0.7022 0.4428 0.8415  2 Pt 2.99-3.03, 1 Tc 3.05, 1 La 3.31
La 0.7147 0.7147 0.3903  2 Pt 3.08, 1 Tc 3.25
Tc 0.3554 0.3554 0.0133  2 La 2.67
Pt 0.0382 0.6701 0.7013  6 La 2.91-3.08
Pt 0.6701 0.0382 0.7013  6 La 2.91-3.08

Properties
Total DFT energy (no corrections), eV/cell: -66.1
Energy of formation, eV per atom: -0.383

***

This record from the Alexandria database describes a relaxed structure of TaBeTe. The functional is PBE-GGA.

Cell: 4.9661 4.9661 4.9661 Å, 140.13 140.13 57.66°
With the nearest neighbours (Å) after each atom.
Atoms (fractional coordinates):
Ta 0.0000 0.0000 0.0000  4 Be 2.72, 5 Te 2.82-2.84
Be 0.6489 0.6489 0.0000  4 Ta 2.72, 5 Te 2.83-2.84
Te 0.3242 0.3242 0.0000  5 Ta 2.82-2.84, 5 Be 2.83-2.84

Properties
Total DFT energy (no corrections), eV/cell: -18.3
Formation energy without anion corrections, eV/f.u.: 0.4

***

This record from the Alexandria database describes a relaxed structure of AsOs3Cl. The functional is PBE-GGA.

Cell: 4.3987 4.3987 4.3987 Å, 90.00 90.00 90.00°
With the nearest neighbours (Å) after each atom.
Atoms (fractional coordinates):
As 0.0000 0.0000 0.0000  12 Os 3.11
Os 0.0000 0.5000 0.5000  2 Cl 2.20
Os 0.5000 0.0000 0.5000  2 Cl 2.20
Os 0.5000 0.5000 0.0000  2 Cl 2.20
Cl 0.5000 0.5000 0.5000  6 Os 2.20

Properties
Total DFT energy (no corrections), eV/cell: -29.8
Formation energy without anion corrections, eV/f.u.: 10.4

***

This record from the Alexandria database describes a relaxed structure of LiFeTcP2. The functional is PBE-GGA.

Cell: 5.3276 5.3276 5.3276 Å, 136.54 136.54 63.15°
With the nearest neighbours (Å) after each atom.
Atoms (fractional coordinates):
Li 0.0000 0.0000 0.0000  4 Fe 3.01, 4 Tc 3.01, 8 P 3.01
Fe 0.7500 0.2500 0.5000  4 P 2.28
Tc 0.2500 0.7500 0.5000  4 P 2.28
P 0.3753 0.3753 0.0000  1 P 2.26, 2 Fe 2.28, 2 Tc 2.28
P 0.6247 0.6247 0.0000  1 P 2.26, 2 Fe 2.28, 2 Tc 2.28

Properties
Total DFT energy (no corrections), eV/cell: -34.3
Energy of formation, eV per atom: -0.546

***

This record from the Alexandria database describes a relaxed structure of LiTl3Sb. The functional is PBE-GGA.

Cell: 5.2302 5.2302 5.2302 Å, 90.00 90.00 90.00°
With the nearest neighbours (Å) after each atom.
Atoms (fractional coordinates):
Li 0.0000 0.0000 0.0000  6 Tl 2.62
Tl 0.0000 0.0000 0.5000  2 Li 2.62
Tl 0.0000 0.5000 0.0000  2 Li 2.62
Tl 0.5000 0.0000 0.0000  2 Li 2.62
Sb 0.5000 0.5000 0.5000  12 Tl 3.70

Properties
Total DFT energy (no corrections), eV/cell: -12.5
Formation energy without anion corrections, eV/f.u.: 0.6